CaSb2Au: relaxed, PBE.

Structure (POSCAR):
```
CaSb2Au
1.0
3.358 0.000 0.000
0.000 3.358 0.000
0.000 0.000 9.137
Sb Ca Au
2 1 1
direct
0.000 0.000 0.981
0.500 0.500 0.295
0.500 0.500 0.719
0.000 0.000 0.504
```

ΔE_f (raw)   -1.1 eV/f.u.
Total moment   0.00 μB/f.u.
Mass density   7.7 g/cm³